Material: MgTe2Pd2F2
Method: DFT, PBE
State: relaxed

* uncorrected energy: -26.2 eV for the cell shown

Cell and atoms, written as CIF:
```
data_MgTe2Pd2F2
_chemical_formula_sum 'Mg1 Te2 Pd2 F2'
_cell_length_a 3.722
_cell_length_b 3.722
_cell_length_c 9.220
_cell_angle_alpha 90.00
_cell_angle_beta 90.00
_cell_angle_gamma 90.00
_space_group_name_H-M_alt 'P -4 m 2'
_space_group_IT_number 115
_space_group_name_Hall 'P -4 -2'
loop_
_atom_site_label
_atom_site_fract_x
_atom_site_fract_y
_atom_site_fract_z
Mg1 0.000 0.000 0.000
Te1 0.000 0.500 0.766
Pd1 0.000 0.500 0.329
F1 0.000 0.000 0.500
F2 0.500 0.500 0.500
```